[1]
A plane-wave DFT calculation with PBE was carried out for crystalline LiAg4Br6 at its relaxed geometry.

Cell: 7.740 7.740 13.181 Å, 111.11 111.11 62.80°
Fractional positions:
Li 0.226 0.774 0.500
Li 0.774 0.226 0.000
Ag 0.213 0.982 0.296
Ag 0.218 0.349 0.594
Ag 0.243 0.716 0.936
Ag 0.349 0.218 0.094
Ag 0.588 0.808 0.718
Ag 0.716 0.243 0.436
Ag 0.808 0.588 0.218
Ag 0.982 0.213 0.796
Br 0.009 0.945 0.085
Br 0.029 0.521 0.759
Br 0.127 0.671 0.294
Br 0.376 0.932 0.884
Br 0.428 0.958 0.504
Br 0.482 0.501 0.593
Br 0.501 0.482 0.093
Br 0.521 0.029 0.259
Br 0.671 0.127 0.794
Br 0.932 0.376 0.384
Br 0.945 0.009 0.585
Br 0.958 0.428 0.004

Properties
theoretical density = 4.8 g/cm3
magnetization = 0.0 μB/cell
DOS(E_F) = 0.47 states/eV per atom
E_form (uncorrected) = -0.491 eV per atom
uncorrected energy = -2.614 eV per atom

---

[2]
A plane-wave DFT calculation with PBE was carried out for crystalline TbCe2Co9 at its relaxed geometry.

Cell: 8.742 8.742 8.742 Å, 32.62 32.62 32.62°
Fractional positions:
Tb 0.000 0.000 0.000
Ce 0.140 0.140 0.140
Ce 0.860 0.860 0.860
Co 0.082 0.579 0.579
Co 0.333 0.333 0.333
Co 0.421 0.421 0.918
Co 0.421 0.918 0.421
Co 0.500 0.500 0.500
Co 0.579 0.082 0.579
Co 0.579 0.579 0.082
Co 0.667 0.667 0.667
Co 0.918 0.421 0.421

Properties
theoretical density = 9.3 g/cm3
magnetization = 7.9 μB/cell
DOS(E_F) = 1.33 states/eV per atom
uncorrected energy = -6.887 eV per atom
energy of formation from the pure elements = -183.2 meV per atom

---

[3]
A plane-wave DFT calculation with PBE was carried out for crystalline PmDy2Ru at its relaxed geometry.

Cell: 3.441 3.441 9.048 Å, 90.00 90.00 90.00°
Fractional positions:
Pm 0.000 0.000 0.000
Dy 0.500 0.500 0.319
Dy 0.500 0.500 0.681
Ru 0.000 0.000 0.500

Properties
theoretical density = 8.9 g/cm3
magnetization = 0.0 μB/cell
energy above the most stable polymorph in this dataset = 66 meV per atom
DOS(E_F) = 0.72 states/eV per atom
uncorrected energy = -6.029 eV per atom
energy of formation from the pure elements = -221.3 meV per atom

---

Please write out number 3 again, unchanged.
A plane-wave DFT calculation with PBE was carried out for crystalline PmDy2Ru at its relaxed geometry.

Cell: 3.441 3.441 9.048 Å, 90.00 90.00 90.00°
Fractional positions:
Pm 0.000 0.000 0.000
Dy 0.500 0.500 0.319
Dy 0.500 0.500 0.681
Ru 0.000 0.000 0.500

Properties
theoretical density = 8.9 g/cm3
magnetization = 0.0 μB/cell
energy above the most stable polymorph in this dataset = 66 meV per atom
DOS(E_F) = 0.72 states/eV per atom
uncorrected energy = -6.029 eV per atom
energy of formation from the pure elements = -221.3 meV per atom

---

> Among the records above, which one has the highest DOS(E_F)?

TbCe2Co9